SbPSeS2 | PBE-GGA | relaxed

Cell: 4.752 4.752 4.855 Å, 90.00 90.00 90.00°
Fractional positions:
Sb: 0.000 0.000 0.000
P: 0.500 0.500 0.000
Se: 0.500 0.500 0.500
S: 0.000 0.500 0.500
S: 0.500 0.000 0.500

Values from the calculation:
E_tot = -17.8 eV/f.u.
mass density = 4.480 Mg/m³
volume = 21.93 A^3/atom